# 1
Ac3Ni3Bi after structural relaxation. Source: Alexandria, functional PBE.

```
14
Lattice="10.1102 0.0000 0.0000 -5.0551 8.7557 0.0000 0.0000 0.0000 4.3359" Properties=species:S:1:pos:R:3 pbc="T T T"
Ac -2.8857 6.0509 1.0840
Ac 1.2577 3.2311 1.0840
Ac 3.4271 0.5264 3.2519
Ac 1.6280 8.2293 1.0840
Ac 3.7974 5.5246 3.2519
Ac 7.9408 2.7048 3.2519
Ni -4.2107 7.6123 3.2519
Ni 0.5680 1.3030 3.2519
Ni 1.4124 0.1596 1.0840
Ni 3.6427 8.5962 3.2519
Ni 4.4871 7.4528 1.0840
Ni 9.2658 1.1434 1.0840
Bi 0.0000 5.8371 3.2519
Bi 5.0551 2.9186 1.0840
```

Calculated values
- Total magnetic moment: 0.00 Bohr magnetons per cell
- Uncorrected energy: -5.244 eV/atom
- Calculated volume: 383.82 Å³ per cell
- E_form: -451 meV/atom
- D(E_F): 4.6 states/eV/f.u.

---

# 2
Ac3NiBi after structural relaxation. Source: Alexandria, functional PBE.

```
5
Lattice="5.6799 0.0000 0.0000 0.0000 5.6799 0.0000 0.0000 0.0000 5.6799" Properties=species:S:1:pos:R:3 pbc="T T T"
Ac 0.0000 0.0000 2.8399
Ac 0.0000 2.8399 0.0000
Ac 2.8399 0.0000 0.0000
Ni 0.0000 0.0000 0.0000
Bi 2.8399 2.8399 2.8399
```

Calculated values
- Total magnetic moment: 0.00 Bohr magnetons per cell
- Uncorrected energy: -4.764 eV/atom
- Calculated volume: 183.24 Å³ per cell
- E_form: -367 meV/atom
- D(E_F): 4.4 states/eV/f.u.

---

# 3
AcNi3Bi3 after structural relaxation. Source: Alexandria, functional PBE.

```
14
Lattice="7.1549 0.0000 0.0000 0.0000 7.1549 0.0000 0.0000 0.0000 7.1549" Properties=species:S:1:pos:R:3 pbc="T T T"
Ac 0.0000 0.0000 0.0000
Ac 3.5775 3.5775 3.5775
Ni 0.0000 1.7887 3.5775
Ni 0.0000 5.3662 3.5775
Ni 1.7887 3.5775 0.0000
Ni 3.5775 0.0000 1.7887
Ni 3.5775 0.0000 5.3662
Ni 5.3662 3.5775 0.0000
Bi 0.0000 3.5775 1.7887
Bi 0.0000 3.5775 5.3662
Bi 1.7887 0.0000 3.5775
Bi 3.5775 1.7887 0.0000
Bi 3.5775 5.3662 0.0000
Bi 5.3662 0.0000 3.5775
```

Calculated values
- Total magnetic moment: 0.00 Bohr magnetons per cell
- Uncorrected energy: -4.733 eV/atom
- Calculated volume: 366.28 Å³ per cell
- E_form: -5 meV/atom
- D(E_F): 5.7 states/eV/f.u.

---

# 4
Ac4NiBi2 after structural relaxation. Source: Alexandria, functional PBE.

```
7
Lattice="-2.6891 2.6891 9.1481 2.6891 -2.6891 9.1481 2.6891 2.6891 -9.1481" Properties=species:S:1:pos:R:3 pbc="T T T"
Ac 2.6891 0.0000 0.0000
Ac 0.0000 0.0000 3.1365
Ac 0.0000 2.6891 0.0000
Ac 0.0000 0.0000 15.1596
Ni 0.0000 0.0000 0.0000
Bi 0.0000 0.0000 6.6136
Bi 0.0000 0.0000 11.6825
```

Calculated values
- Total magnetic moment: 0.00 Bohr magnetons per cell
- Uncorrected energy: -4.838 eV/atom
- Calculated volume: 264.60 Å³ per cell
- E_form: -556 meV/atom
- D(E_F): 5.0 states/eV/f.u.

---

# 5
AcNiBi2 after structural relaxation. Source: Alexandria, functional PBE.

```
4
Lattice="4.8378 0.0000 0.0000 0.0000 4.8378 0.0000 0.0000 0.0000 4.8300" Properties=species:S:1:pos:R:3 pbc="T T T"
Ac 0.0000 0.0000 0.0000
Ni 2.4189 2.4189 0.0000
Bi 0.0000 2.4189 2.4150
Bi 2.4189 0.0000 2.4150
```

Calculated values
- Total magnetic moment: 0.18 Bohr magnetons per cell
- Uncorrected energy: -4.547 eV/atom
- Offset from the most stable computed form: 0.0 meV/atom
- Calculated volume: 113.04 Å³ per cell
- E_form: -134 meV/atom
- D(E_F): 4.2 states/eV/f.u.

---

# 6
Ac5Ni2Bi after structural relaxation. Source: Alexandria, functional PBE.

```
16
Lattice="-4.2537 4.2537 7.2942 4.2537 -4.2537 7.2942 4.2537 4.2537 -7.2942" Properties=species:S:1:pos:R:3 pbc="T T T"
Ac 0.0000 0.0000 0.0000
Ac 5.5727 1.3190 -1.9608
Ac 1.3190 2.9347 -1.9608
Ac 5.5727 1.3190 1.9608
Ac 1.3190 2.9347 1.9608
Ac 0.0000 0.0000 7.2942
Ac 2.9347 1.3190 5.3334
Ac -1.3190 2.9347 5.3334
Ac 2.9347 1.3190 9.2549
Ac -1.3190 2.9347 9.2549
Ni 3.0253 1.2284 0.0000
Ni 3.0253 -1.2284 7.2942
Ni 1.2284 5.4821 0.0000
Ni 1.2284 3.0253 7.2942
Bi 0.0000 0.0000 3.6471
Bi 0.0000 0.0000 10.9412
```

Calculated values
- Total magnetic moment: 0.00 Bohr magnetons per cell
- Uncorrected energy: -4.833 eV/atom
- Calculated volume: 527.92 Å³ per cell
- E_form: -335 meV/atom
- D(E_F): 8.9 states/eV/f.u.

---

# 7
AcNiBi2 after structural relaxation. Source: Alexandria, functional PBE.

```
4
Lattice="3.6216 0.0000 0.0000 0.0000 3.6216 0.0000 0.0000 0.0000 8.3743" Properties=species:S:1:pos:R:3 pbc="T T T"
Ac 0.0000 0.0000 0.0000
Ni 0.0000 0.0000 4.1872
Bi 1.8108 1.8108 2.5927
Bi 1.8108 1.8108 5.7816
```

Calculated values
- Total magnetic moment: 0.00 Bohr magnetons per cell
- Uncorrected energy: -4.440 eV/atom
- Offset from the most stable computed form: 107.2 meV/atom
- Calculated volume: 109.84 Å³ per cell
- E_form: -27 meV/atom
- D(E_F): 3.2 states/eV/f.u.

---

# 8
Ac4Ni3Bi8 after structural relaxation. Source: Alexandria, functional PBE.

```
15
Lattice="4.6908 0.0000 0.0000 0.0000 4.6908 0.0000 0.0000 0.0000 20.5934" Properties=species:S:1:pos:R:3 pbc="T T T"
Ac 0.0000 2.3454 2.3680
Ac 0.0000 2.3454 12.7129
Ac 2.3454 0.0000 7.8805
Ac 2.3454 0.0000 18.2254
Ni 0.0000 0.0000 0.0000
Ni 0.0000 0.0000 10.2967
Ni 2.3454 2.3454 10.2967
Bi 0.0000 0.0000 5.1275
Bi 0.0000 0.0000 15.4659
Bi 0.0000 2.3454 8.9754
Bi 0.0000 2.3454 19.3420
Bi 2.3454 0.0000 1.2514
Bi 2.3454 0.0000 11.6180
Bi 2.3454 2.3454 5.1372
Bi 2.3454 2.3454 15.4562
```

Calculated values
- Total magnetic moment: 0.00 Bohr magnetons per cell
- Uncorrected energy: -4.868 eV/atom
- Calculated volume: 453.13 Å³ per cell
- E_form: -546 meV/atom
- D(E_F): 10.9 states/eV/f.u.

---

# 9
AcNi4Bi12 after structural relaxation. Source: Alexandria, functional PBE.

```
17
Lattice="-4.8898 4.8898 4.8898 4.8898 -4.8898 4.8898 4.8898 4.8898 -4.8898" Properties=species:S:1:pos:R:3 pbc="T T T"
Ac 0.0000 0.0000 0.0000
Ni 2.4449 2.4449 -2.4449
Ni 2.4449 -2.4449 2.4449
Ni -2.4449 2.4449 2.4449
Ni 2.4449 2.4449 2.4449
Bi 3.2538 1.6206 0.0000
Bi 6.5258 1.6206 0.0000
Bi 4.8898 -1.6360 3.2692
Bi 3.2692 4.8898 -1.6360
Bi 1.6206 0.0000 3.2538
Bi 0.0000 3.2538 1.6206
Bi 4.8898 1.6360 3.2692
Bi 3.2692 4.8898 1.6360
Bi 1.6206 0.0000 6.5258
Bi 0.0000 6.5258 1.6206
Bi -1.6360 3.2692 4.8898
Bi 1.6360 3.2692 4.8898
```

Calculated values
- Total magnetic moment: 0.00 Bohr magnetons per cell
- Uncorrected energy: -4.464 eV/atom
- Calculated volume: 467.67 Å³ per cell
- E_form: -123 meV/atom
- D(E_F): 9.4 states/eV/f.u.

---

# 10
Ac12Ni6Bi after structural relaxation. Source: Alexandria, functional PBE.

```
19
Lattice="-5.3753 5.3753 5.3753 5.3753 -5.3753 5.3753 5.3753 5.3753 -5.3753" Properties=species:S:1:pos:R:3 pbc="T T T"
Ac 5.3753 3.4130 -1.9987
Ac 3.3766 0.0000 1.9623
Ac 7.3740 0.0000 1.9623
Ac 1.9623 3.3766 0.0000
Ac 3.4130 -1.9987 5.3753
Ac 0.0000 1.9623 3.3766
Ac 5.3753 3.4130 1.9987
Ac 1.9623 7.3740 0.0000
Ac 3.4130 1.9987 5.3753
Ac -1.9987 5.3753 3.4130
Ac 1.9987 5.3753 3.4130
Ac 0.0000 1.9623 7.3740
Ni 5.3753 1.2597 0.0000
Ni 5.3753 0.0000 4.1156
Ni 4.1156 5.3753 0.0000
Ni 1.2597 0.0000 5.3753
Ni 0.0000 5.3753 1.2597
Ni 0.0000 4.1156 5.3753
Bi 0.0000 0.0000 0.0000
```

Calculated values
- Total magnetic moment: 0.00 Bohr magnetons per cell
- Uncorrected energy: -4.902 eV/atom
- Calculated volume: 621.27 Å³ per cell
- E_form: -277 meV/atom
- D(E_F): 18.9 states/eV/f.u.

---

Which value of calculated volume does entry 9 give? 467.67 Å³ per cell

---

Which of these has the lowest E_form? Ac4NiBi2

---

Among the records above, which one has the highest calculated volume? Ac12Ni6Bi